Material: MgCuPd3
Method: DFT, PBE-GGA
State: optimized geometry

a = 6.725 Å, b = 5.352 Å, c = 8.913 Å
α = 90.00°, β = 105.65°, γ = 90.00°
Space group P2_1/c (No. 14)
Symmetry-distinct sites (fractional):
Mg1 0.218 0.153 0.068 [4 per cell]
Cu1 0.363 0.663 0.342 [4 per cell]
Pd1 0.008 0.069 0.765 [4 per cell]
Pd2 0.178 0.654 0.043 [4 per cell]
Pd3 0.405 0.157 0.370 [4 per cell]

Properties
Energy of formation   -7.10 kcal/mol of atoms
E_tot   -91.2 eV per cell
Offset from the most stable computed form   0 meV/atom

---

Material: Tb4NdHo7
Method: DFT, PBE-GGA
State: optimized geometry

a = 6.506 Å, b = 6.811 Å, c = 9.006 Å
α = 85.44°, β = 76.79°, γ = 81.76°
Space group P-1 (No. 2)
Symmetry-distinct sites (fractional):
Tb1 0.140 0.301 0.288 [2 per cell]
Tb2 0.337 0.890 0.686 [2 per cell]
Nd1 0.500 0.500 0.000 [1 per cell]
Ho1 0.016 0.249 0.950 [2 per cell]
Ho2 0.185 0.796 0.357 [2 per cell]
Ho3 0.308 0.397 0.614 [2 per cell]
Ho4 0.500 0.000 0.000 [1 per cell]

Properties
Energy of formation   1.99 kcal/mol of atoms
E_tot   -54.3 eV per cell
Offset from the most stable computed form   0 meV/atom

---

Material: Zr3HgN
Method: DFT, PBE-GGA
State: optimized geometry

a = 8.219 Å, b = 5.850 Å, c = 8.571 Å
α = 90.00°, β = 112.71°, γ = 90.00°
Space group P2_1/c (No. 14)
Symmetry-distinct sites (fractional):
Zr1 0.052 0.084 0.350 [4 per cell]
Zr2 0.184 0.569 0.538 [4 per cell]
Zr3 0.341 0.127 0.761 [4 per cell]
Hg1 0.394 0.669 0.897 [4 per cell]
N1 0.071 0.247 0.104 [4 per cell]

Properties
E_tot   -151.4 eV per cell

---

Material: MnS2Br
Method: DFT, PBE-GGA
State: optimized geometry

a = 3.5546 Å, b = 3.5546 Å, c = 22.3934 Å
α = 90.00°, β = 90.00°, γ = 120.00°
Space group R-3m (No. 166, hexagonal axes)
Symmetry-distinct sites (fractional):
Mn1 0.0000 0.0000 0.0000 [3 per cell]
S1 0.0000 0.0000 0.3878 [6 per cell]
Br1 0.0000 0.0000 0.5000 [3 per cell]

Properties
E_tot   -60.7 eV per cell
Offset from the most stable computed form   0 meV/atom

---

Material: LiMn2
Method: DFT, PBE-GGA
State: optimized geometry

a = 2.294 Å, b = 4.063 Å, c = 6.937 Å
α = 90.00°, β = 90.00°, γ = 90.00°
Space group Immm (No. 71)
Symmetry-distinct sites (fractional):
Li1 0.000 0.000 0.000 [2 per cell]
Mn1 0.000 0.000 0.338 [4 per cell]

Properties
Energy of formation   7.97 kcal/mol of atoms
E_tot   -38.4 eV per cell

---

Material: LiPm12Al4O3
Method: DFT, PBE-GGA
State: optimized geometry

a = 9.990 Å, b = 9.990 Å, c = 9.990 Å
α = 90.00°, β = 90.00°, γ = 90.00°
Space group Im-3m (No. 229)
Symmetry-distinct sites (fractional):
Li1 0.000 0.000 0.000 [2 per cell]
Pm1 0.000 0.000 0.263 [12 per cell]
Pm2 0.000 0.250 0.500 [12 per cell]
Al1 0.250 0.250 0.250 [8 per cell]
O1 0.000 0.000 0.500 [6 per cell]

Properties
E_tot   -210.8 eV per cell

---

Material: Ac2Al3Zn2
Method: DFT, PBE-GGA
State: optimized geometry

a = 11.203 Å, b = 4.627 Å, c = 6.999 Å
α = 90.00°, β = 111.91°, γ = 90.00°
Space group C2/m (No. 12)
Symmetry-distinct sites (fractional):
Ac1 0.156 0.000 0.274 [4 per cell]
Al1 0.000 0.500 0.500 [2 per cell]
Al2 0.090 0.500 0.914 [4 per cell]
Zn1 0.148 0.000 0.773 [4 per cell]

Properties
Energy of formation   -7.37 kcal/mol of atoms
E_tot   -48.5 eV per cell
Offset from the most stable computed form   10 meV/atom

---

Material: KReHg3
Method: DFT, PBE-GGA
State: optimized geometry

a = 6.192 Å, b = 6.192 Å, c = 6.192 Å
α = 90.00°, β = 90.00°, γ = 90.00°
Space group Pm-3m (No. 221)
Symmetry-distinct sites (fractional):
K1 0.000 0.000 0.000 [1 per cell]
Re1 0.500 0.500 0.500 [1 per cell]
Hg1 0.000 0.000 0.500 [3 per cell]

Properties
Energy of formation   35.73 kcal/mol of atoms
E_tot   -6.7 eV per cell
Offset from the most stable computed form   1075 meV/atom

---

Material: Na3Ca2CeS6
Method: DFT, PBE-GGA
State: optimized geometry

a = 7.074 Å, b = 12.261 Å, c = 6.969 Å
α = 90.00°, β = 109.86°, γ = 90.00°
Space group C2/m (No. 12)
Symmetry-distinct sites (fractional):
Na1 0.000 0.000 0.000 [2 per cell]
Na2 0.000 0.330 0.000 [4 per cell]
Ca1 0.000 0.167 0.500 [4 per cell]
Ce1 0.000 0.500 0.500 [2 per cell]
S1 0.239 0.339 0.731 [8 per cell]
S2 0.246 0.500 0.270 [4 per cell]

Properties
E_tot   -114.5 eV per cell

---

Material: TmSbRh2
Method: DFT, PBE-GGA
State: optimized geometry

a = 6.606 Å, b = 6.606 Å, c = 6.606 Å
α = 90.00°, β = 90.00°, γ = 90.00°
Space group Fm-3m (No. 225)
Symmetry-distinct sites (fractional):
Tm1 0.000 0.000 0.000 [4 per cell]
Sb1 0.000 0.000 0.500 [4 per cell]
Rh1 0.250 0.250 0.250 [8 per cell]

Properties
E_tot   -105.4 eV per cell

---

Material: ReAsW2
Method: DFT, PBE-GGA
State: optimized geometry

a = 3.149 Å, b = 4.578 Å, c = 8.968 Å
α = 90.00°, β = 90.00°, γ = 90.00°
Space group Cmm2 (No. 35)
Symmetry-distinct sites (fractional):
Re1 0.000 0.000 0.000 [2 per cell]
As1 0.000 0.500 0.264 [2 per cell]
W1 0.000 0.000 0.514 [2 per cell]
W2 0.000 0.500 0.763 [2 per cell]

Properties
Energy of formation   9.91 kcal/mol of atoms
E_tot   -82.6 eV per cell

---

Material: LaEuInPt
Method: DFT, PBE-GGA
State: optimized geometry

a = 7.560 Å, b = 7.560 Å, c = 7.560 Å
α = 90.00°, β = 90.00°, γ = 90.00°
Space group F-43m (No. 216)
Symmetry-distinct sites (fractional):
La1 0.000 0.000 0.000 [4 per cell]
Eu1 0.000 0.000 0.500 [4 per cell]
In1 0.250 0.250 0.750 [4 per cell]
Pt1 0.250 0.250 0.250 [4 per cell]

Properties
Energy of formation   -14.69 kcal/mol of atoms
E_tot   -106.1 eV per cell

---

> Which formula does entry 4 have?

MnS2Br

---

> Which of these has the highest E_tot?

KReHg3